1.
# BeZnMo2

BeZnMo2 after structural relaxation (GGA-PBEsol, the Alexandria database).

Values from the calculation:
DFT total energy in eV for the cell shown: -28.6
Polymorph energy (0 for the lowest one) in meV per atom: 0.0
Magnetization in μB per formula unit: 0.000
ΔH_f (0 K) in eV/atom: 0.124

Geometry as CIF:
```
data_BeZnMo2
_chemical_formula_sum 'Be1 Zn1 Mo2'
_space_group_name_H-M_alt 'P 4/m m m'
_space_group_IT_number 123
_space_group_name_Hall '-P 4 2'
_cell_length_a 2.5947
_cell_length_b 2.5947
_cell_length_c 7.8229
_cell_angle_alpha 90.00
_cell_angle_beta 90.00
_cell_angle_gamma 90.00
loop_
_atom_site_label
_atom_site_fract_x
_atom_site_fract_y
_atom_site_fract_z
_atom_site_occupancy
Be1 0.0000 0.0000 0.0000 1
Zn1 0.0000 0.0000 0.5000 1
Mo1 0.5000 0.5000 0.2292 1
```

=====

2.
# ZnH2IrSe

ZnH2IrSe after structural relaxation (GGA-PBEsol, the Alexandria database).

Values from the calculation:
DFT total energy in eV for the cell shown: -21.1
Magnetization in μB per formula unit: 0.000

Geometry as CIF:
```
data_ZnH2IrSe
_chemical_formula_sum 'Zn1 H2 Ir1 Se1'
_space_group_name_H-M_alt 'P 4/m m m'
_space_group_IT_number 123
_space_group_name_Hall '-P 4 2'
_cell_length_a 3.5238
_cell_length_b 3.5238
_cell_length_c 5.0044
_cell_angle_alpha 90.00
_cell_angle_beta 90.00
_cell_angle_gamma 90.00
loop_
_atom_site_label
_atom_site_fract_x
_atom_site_fract_y
_atom_site_fract_z
_atom_site_occupancy
Zn1 0.0000 0.0000 0.0000 1
H1 0.0000 0.5000 0.5000 1
Ir1 0.5000 0.5000 0.5000 1
Se1 0.5000 0.5000 0.0000 1
```

=====

3.
# Te3Os

Te3Os after structural relaxation (GGA-PBEsol, the Alexandria database).

Values from the calculation:
Formation energy from raw total energies in eV/atom: 0.271
DFT total energy in eV for the cell shown: -43.4
Magnetization in μB per formula unit: 0.000

Geometry as CIF:
```
data_Te3Os
_chemical_formula_sum 'Te6 Os2'
_space_group_name_H-M_alt 'P 63/m m c'
_space_group_IT_number 194
_space_group_name_Hall '-P 6c 2c'
_cell_length_a 8.4077
_cell_length_b 8.4077
_cell_length_c 3.6948
_cell_angle_alpha 90.00
_cell_angle_beta 90.00
_cell_angle_gamma 120.00
loop_
_atom_site_label
_atom_site_fract_x
_atom_site_fract_y
_atom_site_fract_z
_atom_site_occupancy
Te1 0.2041 0.4081 0.2500 1
Os1 0.3333 0.6667 0.7500 1
```

=====

4.
# SrCaSi4

SrCaSi4 after structural relaxation (GGA-PBEsol, the Alexandria database).

Values from the calculation:
Formation energy from raw total energies in eV/atom: -0.422
DFT total energy in eV for the cell shown: -59.0
Polymorph energy (0 for the lowest one) in meV per atom: 0.0
Magnetization in μB per formula unit: 0.000

Geometry as CIF:
```
data_SrCaSi4
_chemical_formula_sum 'Sr2 Ca2 Si8'
_space_group_name_H-M_alt 'I -4 m 2'
_space_group_IT_number 119
_space_group_name_Hall 'I -4 -2'
_cell_length_a 4.3091
_cell_length_b 4.3091
_cell_length_c 13.5889
_cell_angle_alpha 90.00
_cell_angle_beta 90.00
_cell_angle_gamma 90.00
loop_
_atom_site_label
_atom_site_fract_x
_atom_site_fract_y
_atom_site_fract_z
_atom_site_occupancy
Sr1 0.0000 0.0000 0.0000 1
Ca1 0.0000 0.5000 0.2500 1
Si1 0.0000 0.0000 0.4141 1
Si2 0.0000 0.5000 0.6661 1
```

=====

5.
# CdPt

CdPt after structural relaxation (GGA-PBEsol, the Alexandria database).

Values from the calculation:
DFT total energy in eV for the cell shown: -51.7
Magnetization in μB per formula unit: 0.000
ΔH_f (0 K) in eV/atom: -0.225

Geometry as CIF:
```
data_CdPt
_chemical_formula_sum 'Cd6 Pt6'
_space_group_name_H-M_alt 'C 1 m 1'
_space_group_IT_number 8
_cell_length_a 10.3705
_cell_length_b 2.8793
_cell_length_c 7.1852
_cell_angle_alpha 90.00
_cell_angle_beta 108.90
_cell_angle_gamma 90.00
loop_
_space_group_symop_operation_xyz
'x,y,z'
'x,-y,z'
'x+1/2,y+1/2,z'
'x+1/2,-y+1/2,z'
loop_
_atom_site_label
_atom_site_fract_x
_atom_site_fract_y
_atom_site_fract_z
_atom_site_occupancy
Cd1 0.0000 0.0000 0.0000 1
Cd2 0.0343 0.0000 0.6069 1
Cd3 0.1941 0.5000 0.3406 1
Pt1 0.2160 0.5000 0.9444 1
Pt2 0.3171 0.0000 0.6841 1
Pt3 0.4060 0.0000 0.2628 1
```

=====

6.
# Cr3Re

Cr3Re after structural relaxation (GGA-PBEsol, the Alexandria database).

Values from the calculation:
DFT total energy in eV for the cell shown: -131.5
Magnetization in μB per formula unit: 0.000
ΔH_f (0 K) in eV/atom: 0.060

Geometry as CIF:
```
data_Cr3Re
_chemical_formula_sum 'Cr9 Re3'
_space_group_name_H-M_alt 'R -3 m'
_space_group_IT_number 166
_space_group_name_Hall '-R 3 2"'
_cell_length_a 8.1490
_cell_length_b 8.1490
_cell_length_c 2.5434
_cell_angle_alpha 90.00
_cell_angle_beta 90.00
_cell_angle_gamma 120.00
loop_
_atom_site_label
_atom_site_fract_x
_atom_site_fract_y
_atom_site_fract_z
_atom_site_occupancy
Cr1 0.0000 0.5000 0.0000 1
Re1 0.0000 0.0000 0.0000 1
```

=====

7.
# SrSc2Cr

SrSc2Cr after structural relaxation (GGA-PBEsol, the Alexandria database).

Values from the calculation:
DFT total energy in eV for the cell shown: -23.4
Polymorph energy (0 for the lowest one) in meV per atom: 126.0
Magnetization in μB per formula unit: 2.921
ΔH_f (0 K) in eV/atom: 0.465

Geometry as CIF:
```
data_SrSc2Cr
_chemical_formula_sum 'Sr1 Sc2 Cr1'
_space_group_name_H-M_alt 'P 4 m m'
_space_group_IT_number 99
_cell_length_a 3.6187
_cell_length_b 3.6187
_cell_length_c 7.9799
_cell_angle_alpha 90.00
_cell_angle_beta 90.00
_cell_angle_gamma 90.00
loop_
_space_group_symop_operation_xyz
'x,y,z'
'-y,x,z'
'-x,-y,z'
'y,-x,z'
'-x,y,z'
'y,x,z'
'x,-y,z'
'-y,-x,z'
loop_
_atom_site_label
_atom_site_fract_x
_atom_site_fract_y
_atom_site_fract_z
_atom_site_occupancy
Sr1 0.0000 0.0000 0.0000 1
Sc1 0.0000 0.0000 0.4274 1
Sc2 0.5000 0.5000 0.6535 1
Cr1 0.5000 0.5000 0.2890 1
```

=====

8.
# Rb2Se3

Rb2Se3 after structural relaxation (GGA-PBEsol, the Alexandria database).

Values from the calculation:
Formation energy from raw total energies in eV/atom: -0.792
DFT total energy in eV for the cell shown: -70.2
Magnetization in μB per formula unit: 0.000

Geometry as CIF:
```
data_Rb2Se3
_chemical_formula_sum 'Rb8 Se12'
_space_group_name_H-M_alt 'C m c 21'
_space_group_IT_number 36
_cell_length_a 7.5810
_cell_length_b 10.9782
_cell_length_c 7.7061
_cell_angle_alpha 90.00
_cell_angle_beta 90.00
_cell_angle_gamma 90.00
loop_
_space_group_symop_operation_xyz
'x,y,z'
'-x,-y,z+1/2'
'-x,y,z'
'x,-y,z+1/2'
'x+1/2,y+1/2,z'
'-x+1/2,-y+1/2,z+1/2'
'-x+1/2,y+1/2,z'
'x+1/2,-y+1/2,z+1/2'
loop_
_atom_site_label
_atom_site_fract_x
_atom_site_fract_y
_atom_site_fract_z
_atom_site_occupancy
Rb1 0.0000 0.0835 0.0000 1
Rb2 0.0000 0.4066 0.2199 1
Se1 0.0000 0.2879 0.6684 1
Se2 0.2491 0.3339 0.8518 1
```

=====

9.
# LaSiHg2

LaSiHg2 after structural relaxation (GGA-PBEsol, the Alexandria database).

Values from the calculation:
Formation energy from raw total energies in eV/atom: -0.178
DFT total energy in eV for the cell shown: -12.9
Magnetization in μB per formula unit: 0.000

Geometry as CIF:
```
data_LaSiHg2
_chemical_formula_sum 'La1 Si1 Hg2'
_space_group_name_H-M_alt 'P m m m'
_space_group_IT_number 47
_cell_length_a 3.3656
_cell_length_b 3.8882
_cell_length_c 6.9824
_cell_angle_alpha 90.00
_cell_angle_beta 90.00
_cell_angle_gamma 90.00
loop_
_space_group_symop_operation_xyz
'x,y,z'
'-x,-y,-z'
'-x,-y,z'
'x,y,-z'
'x,-y,-z'
'-x,y,z'
'-x,y,-z'
'x,-y,z'
loop_
_atom_site_label
_atom_site_fract_x
_atom_site_fract_y
_atom_site_fract_z
_atom_site_occupancy
La1 0.0000 0.0000 0.0000 1
Si1 0.0000 0.0000 0.5000 1
Hg1 0.5000 0.5000 0.2870 1
```

=====

10.
# RuPtN2

RuPtN2 after structural relaxation (GGA-PBEsol, the Alexandria database).

Values from the calculation:
Formation energy from raw total energies in eV/atom: 1.366
DFT total energy in eV for the cell shown: -114.9
Magnetization in μB per formula unit: 0.000

Geometry as CIF:
```
data_RuPtN2
_chemical_formula_sum 'Ru4 Pt4 N8'
_space_group_name_H-M_alt 'F m -3 m'
_space_group_IT_number 225
_space_group_name_Hall '-F 4 2 3'
_cell_length_a 5.4230
_cell_length_b 5.4230
_cell_length_c 5.4230
_cell_angle_alpha 90.00
_cell_angle_beta 90.00
_cell_angle_gamma 90.00
loop_
_atom_site_label
_atom_site_fract_x
_atom_site_fract_y
_atom_site_fract_z
_atom_site_occupancy
Ru1 0.0000 0.0000 0.0000 1
Pt1 0.0000 0.0000 0.5000 1
N1 0.2500 0.2500 0.2500 1
```

=====

11.
# Y2MnCo

Y2MnCo after structural relaxation (GGA-PBEsol, the Alexandria database).

Values from the calculation:
DFT total energy in eV for the cell shown: -59.7
Polymorph energy (0 for the lowest one) in meV per atom: 342.9
Magnetization in μB per formula unit: 2.741
ΔH_f (0 K) in eV/atom: 0.317

Geometry as CIF:
```
data_Y2MnCo
_chemical_formula_sum 'Y4 Mn2 Co2'
_space_group_name_H-M_alt 'I -4 m 2'
_space_group_IT_number 119
_space_group_name_Hall 'I -4 -2'
_cell_length_a 3.8889
_cell_length_b 3.8889
_cell_length_c 10.0424
_cell_angle_alpha 90.00
_cell_angle_beta 90.00
_cell_angle_gamma 90.00
loop_
_atom_site_label
_atom_site_fract_x
_atom_site_fract_y
_atom_site_fract_z
_atom_site_occupancy
Y1 0.0000 0.0000 0.0000 1
Y2 0.0000 0.5000 0.2500 1
Mn1 0.0000 0.5000 0.7500 1
Co1 0.0000 0.0000 0.5000 1
```

=====

12.
# ErPt3

ErPt3 after structural relaxation (GGA-PBEsol, the Alexandria database).

Values from the calculation:
DFT total energy in eV for the cell shown: -30.1
Magnetization in μB per formula unit: 0.000
ΔH_f (0 K) in eV/atom: -1.061

Geometry as CIF:
```
data_ErPt3
_chemical_formula_sum 'Er1 Pt3'
_space_group_name_H-M_alt 'P m -3 m'
_space_group_IT_number 221
_space_group_name_Hall '-P 4 2 3'
_cell_length_a 4.0362
_cell_length_b 4.0362
_cell_length_c 4.0362
_cell_angle_alpha 90.00
_cell_angle_beta 90.00
_cell_angle_gamma 90.00
loop_
_atom_site_label
_atom_site_fract_x
_atom_site_fract_y
_atom_site_fract_z
_atom_site_occupancy
Er1 0.0000 0.0000 0.0000 1
Pt1 0.0000 0.5000 0.5000 1
```